Density functional theory data (GGA-PBE) for a relaxed structure of Cd2SiSe.

Output
**Total magnetization**: 0.000 μB per formula unit
**Relative energy among the computed polymorphs**: 37 meV/atom
**Uncorrected formation energy**: 0.5 eV/f.u.
**Calculated total energy**: -10.28 eV per cell

Geometry as CIF:
```
data_Cd2SiSe
_chemical_formula_sum 'Cd2 Si1 Se1'
_cell_length_a 2.809
_cell_length_b 3.567
_cell_length_c 9.148
_cell_angle_alpha 90.00
_cell_angle_beta 98.72
_cell_angle_gamma 90.00
_symmetry_space_group_name_H-M 'P 1 m 1'
_symmetry_Int_Tables_number 6
_symmetry_space_group_name_Hall 'P -2y'
loop_
_atom_site_label
_atom_site_type_symbol
_atom_site_fract_x
_atom_site_fract_y
_atom_site_fract_z
Cd1 Cd 0.000 0.000 0.000
Cd2 Cd 0.376 0.500 0.751
Si1 Si 0.125 0.500 0.259
Se1 Se 0.220 0.000 0.454
```